(1)
# SrLiAlH6

Crystalline SrLiAlH6 at its relaxed geometry (GGA-PBE, Alexandria via LeMat-Bulk).

CIF file:
```
data_SrLiAlH6
_chemical_formula_sum 'Sr1 Li1 Al1 H6'
_space_group_name_H-M_alt 'P 1'
_space_group_IT_number 1
_cell_length_a 4.864
_cell_length_b 4.864
_cell_length_c 4.956
_cell_angle_alpha 90.00
_cell_angle_beta 90.00
_cell_angle_gamma 120.00
loop_
_space_group_symop_operation_xyz
'x,y,z'
loop_
_atom_site_label
_atom_site_type_symbol
_atom_site_fract_x
_atom_site_fract_y
_atom_site_fract_z
_atom_site_occupancy
Sr1 Sr 0.000 0.000 0.000 1
Li1 Li 0.333 0.667 0.500 1
Al1 Al 0.667 0.333 0.500 1
H1 H 0.395 0.024 0.705 1
H2 H 0.395 0.370 0.295 1
H3 H 0.630 0.024 0.295 1
H4 H 0.630 0.605 0.705 1
H5 H 0.976 0.370 0.705 1
H6 H 0.976 0.605 0.295 1
```

size of the total moment	0.00	Bohr magnetons per cell
space group	No. 149
energy	-30.44	eV for the cell shown



(2)
# LiAlTcH2

Crystalline LiAlTcH2 at its relaxed geometry (GGA-PBE, Alexandria via LeMat-Bulk).

CIF file:
```
data_LiAlTcH2
_chemical_formula_sum 'Li1 Al1 Tc1 H2'
_space_group_name_H-M_alt 'P 1'
_space_group_IT_number 1
_cell_length_a 3.498
_cell_length_b 3.498
_cell_length_c 4.495
_cell_angle_alpha 90.00
_cell_angle_beta 90.00
_cell_angle_gamma 90.00
loop_
_space_group_symop_operation_xyz
'x,y,z'
loop_
_atom_site_label
_atom_site_type_symbol
_atom_site_fract_x
_atom_site_fract_y
_atom_site_fract_z
_atom_site_occupancy
Li1 Li 0.000 0.000 0.000 1
Al1 Al 0.500 0.500 0.000 1
Tc1 Tc 0.000 0.000 0.500 1
H1 H 0.000 0.500 0.500 1
H2 H 0.500 0.000 0.500 1
```

size of the total moment	0.00	Bohr magnetons per cell
space group	No. 123
energy	-19.65	eV for the cell shown



(3)
# Li2AlTeH

Crystalline Li2AlTeH at its relaxed geometry (GGA-PBE, Alexandria via LeMat-Bulk).

CIF file:
```
data_Li2AlTeH
_chemical_formula_sum 'Li2 Al1 Te1 H1'
_space_group_name_H-M_alt 'P 1'
_space_group_IT_number 1
_cell_length_a 5.229
_cell_length_b 5.229
_cell_length_c 3.487
_cell_angle_alpha 90.00
_cell_angle_beta 90.00
_cell_angle_gamma 90.00
loop_
_space_group_symop_operation_xyz
'x,y,z'
loop_
_atom_site_label
_atom_site_type_symbol
_atom_site_fract_x
_atom_site_fract_y
_atom_site_fract_z
_atom_site_occupancy
Li1 Li 0.000 0.500 0.000 1
Li2 Li 0.500 0.000 0.000 1
Al1 Al 0.000 0.000 0.000 1
Te1 Te 0.500 0.500 0.500 1
H1 H 0.000 0.000 0.500 1
```

size of the total moment	0.00	Bohr magnetons per cell
space group	No. 123
energy	-13.63	eV for the cell shown



(4)
# Li2TiAlH

Crystalline Li2TiAlH at its relaxed geometry (GGA-PBE, Alexandria via LeMat-Bulk).

CIF file:
```
data_Li2TiAlH
_chemical_formula_sum 'Li2 Ti1 Al1 H1'
_space_group_name_H-M_alt 'P 1'
_space_group_IT_number 1
_cell_length_a 3.844
_cell_length_b 3.844
_cell_length_c 4.347
_cell_angle_alpha 90.00
_cell_angle_beta 90.00
_cell_angle_gamma 90.00
loop_
_space_group_symop_operation_xyz
'x,y,z'
loop_
_atom_site_label
_atom_site_type_symbol
_atom_site_fract_x
_atom_site_fract_y
_atom_site_fract_z
_atom_site_occupancy
Li1 Li 0.000 0.500 0.000 1
Li2 Li 0.500 0.000 0.000 1
Ti1 Ti 0.000 0.000 0.500 1
Al1 Al 0.500 0.500 0.500 1
H1 H 0.000 0.000 0.000 1
```

size of the total moment	0.00	Bohr magnetons per cell
space group	No. 123
energy	-19.63	eV for the cell shown



(5)
# LiTi2AlH

Crystalline LiTi2AlH at its relaxed geometry (GGA-PBE, Alexandria via LeMat-Bulk).

CIF file:
```
data_LiTi2AlH
_chemical_formula_sum 'Li1 Ti2 Al1 H1'
_space_group_name_H-M_alt 'P 1'
_space_group_IT_number 1
_cell_length_a 4.040
_cell_length_b 4.040
_cell_length_c 3.964
_cell_angle_alpha 90.00
_cell_angle_beta 90.00
_cell_angle_gamma 90.00
loop_
_space_group_symop_operation_xyz
'x,y,z'
loop_
_atom_site_label
_atom_site_type_symbol
_atom_site_fract_x
_atom_site_fract_y
_atom_site_fract_z
_atom_site_occupancy
Li1 Li 0.000 0.000 0.000 1
Ti1 Ti 0.000 0.500 0.500 1
Ti2 Ti 0.500 0.000 0.500 1
Al1 Al 0.500 0.500 0.000 1
H1 H 0.000 0.000 0.500 1
```

size of the total moment	0.00	Bohr magnetons per cell
space group	No. 123
energy	-25.99	eV for the cell shown



(6)
# Li2TmAlH8

Crystalline Li2TmAlH8 at its relaxed geometry (GGA-PBE, Alexandria via LeMat-Bulk).

CIF file:
```
data_Li2TmAlH8
_chemical_formula_sum 'Li2 Tm1 Al1 H8'
_space_group_name_H-M_alt 'P 1'
_space_group_IT_number 1
_cell_length_a 4.236
_cell_length_b 4.239
_cell_length_c 5.816
_cell_angle_alpha 89.96
_cell_angle_beta 68.97
_cell_angle_gamma 85.90
loop_
_space_group_symop_operation_xyz
'x,y,z'
loop_
_atom_site_label
_atom_site_type_symbol
_atom_site_fract_x
_atom_site_fract_y
_atom_site_fract_z
_atom_site_occupancy
Li1 Li 0.137 0.492 0.239 1
Li2 Li 0.863 0.508 0.761 1
Tm1 Tm 0.500 0.000 0.500 1
Al1 Al 0.000 0.000 0.000 1
H1 H 0.088 0.008 0.285 1
H2 H 0.246 0.292 0.863 1
H3 H 0.277 0.511 0.492 1
H4 H 0.356 0.761 0.855 1
H5 H 0.644 0.239 0.145 1
H6 H 0.723 0.489 0.508 1
H7 H 0.754 0.708 0.137 1
H8 H 0.912 0.992 0.715 1
```

size of the total moment	0.00	Bohr magnetons per cell
space group	No. 2
energy	-42.01	eV for the cell shown



(7)
# Li2YAlH8

Crystalline Li2YAlH8 at its relaxed geometry (GGA-PBE, Alexandria via LeMat-Bulk).

CIF file:
```
data_Li2YAlH8
_chemical_formula_sum 'Li2 Y1 Al1 H8'
_space_group_name_H-M_alt 'P 1'
_space_group_IT_number 1
_cell_length_a 4.290
_cell_length_b 4.294
_cell_length_c 5.833
_cell_angle_alpha 89.76
_cell_angle_beta 69.73
_cell_angle_gamma 85.69
loop_
_space_group_symop_operation_xyz
'x,y,z'
loop_
_atom_site_label
_atom_site_type_symbol
_atom_site_fract_x
_atom_site_fract_y
_atom_site_fract_z
_atom_site_occupancy
Li1 Li 0.126 0.490 0.239 1
Li2 Li 0.874 0.510 0.761 1
Y1 Y 0.500 0.000 0.500 1
Al1 Al 0.000 0.000 0.000 1
H1 H 0.087 0.014 0.284 1
H2 H 0.237 0.292 0.865 1
H3 H 0.278 0.512 0.487 1
H4 H 0.352 0.764 0.861 1
H5 H 0.648 0.236 0.139 1
H6 H 0.722 0.488 0.513 1
H7 H 0.763 0.708 0.135 1
H8 H 0.913 0.986 0.716 1
```

size of the total moment	0.00	Bohr magnetons per cell
space group	No. 2
energy	-44.16	eV for the cell shown



(8)
# LiY2AlH

Crystalline LiY2AlH at its relaxed geometry (GGA-PBE, Alexandria via LeMat-Bulk).

CIF file:
```
data_LiY2AlH
_chemical_formula_sum 'Li1 Y2 Al1 H1'
_space_group_name_H-M_alt 'P 1'
_space_group_IT_number 1
_cell_length_a 4.992
_cell_length_b 4.992
_cell_length_c 3.782
_cell_angle_alpha 90.00
_cell_angle_beta 90.00
_cell_angle_gamma 90.00
loop_
_space_group_symop_operation_xyz
'x,y,z'
loop_
_atom_site_label
_atom_site_type_symbol
_atom_site_fract_x
_atom_site_fract_y
_atom_site_fract_z
_atom_site_occupancy
Li1 Li 0.000 0.000 0.000 1
Y1 Y 0.000 0.500 0.500 1
Y2 Y 0.500 0.000 0.500 1
Al1 Al 0.500 0.500 0.000 1
H1 H 0.000 0.000 0.500 1
```

size of the total moment	0.00	Bohr magnetons per cell
space group	No. 123
energy	-23.75	eV for the cell shown



(9)
# LiAl2ZnH

Crystalline LiAl2ZnH at its relaxed geometry (GGA-PBE, Alexandria via LeMat-Bulk).

CIF file:
```
data_LiAl2ZnH
_chemical_formula_sum 'Li1 Al2 Zn1 H1'
_space_group_name_H-M_alt 'P 1'
_space_group_IT_number 1
_cell_length_a 5.050
_cell_length_b 5.050
_cell_length_c 2.995
_cell_angle_alpha 90.00
_cell_angle_beta 90.00
_cell_angle_gamma 90.00
loop_
_space_group_symop_operation_xyz
'x,y,z'
loop_
_atom_site_label
_atom_site_type_symbol
_atom_site_fract_x
_atom_site_fract_y
_atom_site_fract_z
_atom_site_occupancy
Li1 Li 0.000 0.000 0.000 1
Al1 Al 0.000 0.500 0.000 1
Al2 Al 0.500 0.000 0.000 1
Zn1 Zn 0.500 0.500 0.500 1
H1 H 0.000 0.000 0.500 1
```

size of the total moment	0.00	Bohr magnetons per cell
space group	No. 123
polymorph energy (0 for the lowest one)	2.20	eV/f.u.
energy	-11.75	eV for the cell shown



(10)
# LiAlZn2H

Crystalline LiAlZn2H at its relaxed geometry (GGA-PBE, Alexandria via LeMat-Bulk).

CIF file:
```
data_LiAlZn2H
_chemical_formula_sum 'Li1 Al1 Zn2 H1'
_space_group_name_H-M_alt 'P 1'
_space_group_IT_number 1
_cell_length_a 4.331
_cell_length_b 4.331
_cell_length_c 3.457
_cell_angle_alpha 90.00
_cell_angle_beta 90.00
_cell_angle_gamma 90.00
loop_
_space_group_symop_operation_xyz
'x,y,z'
loop_
_atom_site_label
_atom_site_type_symbol
_atom_site_fract_x
_atom_site_fract_y
_atom_site_fract_z
_atom_site_occupancy
Li1 Li 0.000 0.000 0.000 1
Al1 Al 0.500 0.500 0.000 1
Zn1 Zn 0.000 0.500 0.500 1
Zn2 Zn 0.500 0.000 0.500 1
H1 H 0.000 0.000 0.500 1
```

size of the total moment	0.00	Bohr magnetons per cell
space group	No. 123
energy	-11.36	eV for the cell shown



(11)
# LiAl2ZnH

Crystalline LiAl2ZnH at its relaxed geometry (GGA-PBE, Alexandria via LeMat-Bulk).

CIF file:
```
data_LiAl2ZnH
_chemical_formula_sum 'Li1 Al2 Zn1 H1'
_space_group_name_H-M_alt 'P 1'
_space_group_IT_number 1
_cell_length_a 4.044
_cell_length_b 4.044
_cell_length_c 3.969
_cell_angle_alpha 90.00
_cell_angle_beta 90.00
_cell_angle_gamma 90.00
loop_
_space_group_symop_operation_xyz
'x,y,z'
loop_
_atom_site_label
_atom_site_type_symbol
_atom_site_fract_x
_atom_site_fract_y
_atom_site_fract_z
_atom_site_occupancy
Li1 Li 0.000 0.000 0.000 1
Al1 Al 0.000 0.500 0.500 1
Al2 Al 0.500 0.000 0.500 1
Zn1 Zn 0.500 0.500 0.000 1
H1 H 0.000 0.000 0.500 1
```

size of the total moment	0.00	Bohr magnetons per cell
space group	No. 123
polymorph energy (0 for the lowest one)	0.00	eV/f.u.
energy	-13.95	eV for the cell shown



(12)
# Li2AlZnH

Crystalline Li2AlZnH at its relaxed geometry (GGA-PBE, Alexandria via LeMat-Bulk).

CIF file:
```
data_Li2AlZnH
_chemical_formula_sum 'Li2 Al1 Zn1 H1'
_space_group_name_H-M_alt 'P 1'
_space_group_IT_number 1
_cell_length_a 3.872
_cell_length_b 3.872
_cell_length_c 4.202
_cell_angle_alpha 90.00
_cell_angle_beta 90.00
_cell_angle_gamma 90.00
loop_
_space_group_symop_operation_xyz
'x,y,z'
loop_
_atom_site_label
_atom_site_type_symbol
_atom_site_fract_x
_atom_site_fract_y
_atom_site_fract_z
_atom_site_occupancy
Li1 Li 0.000 0.500 0.000 1
Li2 Li 0.500 0.000 0.000 1
Al1 Al 0.000 0.000 0.500 1
Zn1 Zn 0.500 0.500 0.500 1
H1 H 0.000 0.000 0.000 1
```

size of the total moment	0.00	Bohr magnetons per cell
space group	No. 123
polymorph energy (0 for the lowest one)	0.00	eV/f.u.
energy	-12.73	eV for the cell shown



Which value of energy does entry 9 give?
-11.75 eV for the cell shown